La2BeSb: relaxed, PBE-GGA.

```
La2BeSb
1.0
0.000 3.742 3.742
3.742 0.000 3.742
3.742 3.742 0.000
La Be Sb
2 1 1
Cartesian
0.000 0.000 0.000
1.871 1.871 1.871
3.742 3.742 3.742
5.614 5.614 5.614
```

Calculated values
Calculated volume: 26.2 Å³ per atom
Spin magnetization: 0.00 μB per formula unit
Offset from the most stable computed form: 0.684 eV/atom
Raw formation energy: 69.3 kJ/mol of formula units